(1)
VASP calculation (PBE) on crystalline CrTe2PI at its relaxed geometry.

```
CrTe2PI
1.0
-0.0519 -4.9547 0.4902
3.1246 0.3492 3.8610
-4.1806 0.3751 3.3493
Te Cr I P
2 1 1 1
direct
0.5000 0.0000 0.0000
0.0000 0.5000 0.0000
0.0000 0.0000 0.0000
0.0000 0.0000 0.5000
0.5000 0.5000 0.5000
```

Values from the calculation:
* crystal system: tetragonal
* symmetry: P4/mmm, No. 123
* offset from the most stable computed form: 130 meV/atom
* VASP energy: -0.137 hartree per atom
* formation energy (no corrections): 841.3 meV per atom


(2)
VASP calculation (PBE) on crystalline CrTe2PI at its relaxed geometry.

```
CrTe2PI
1.0
5.3350 0.0000 0.0000
0.0000 5.3350 0.0000
0.0000 0.0000 5.3081
I Te Cr P
1 2 1 1
direct
0.0000 0.0000 0.5000
0.5000 0.0000 0.0000
0.0000 0.5000 0.0000
0.5000 0.5000 0.5000
0.0000 0.0000 0.0000
```

Values from the calculation:
* crystal system: tetragonal
* symmetry: P4/mmm, No. 123
* offset from the most stable computed form: 0 meV/atom
* VASP energy: -0.142 hartree per atom
* formation energy (no corrections): 711.2 meV per atom


(3)
VASP calculation (PBE) on crystalline PaCrI6 at its relaxed geometry.

```
PaCrI6
1.0
7.8865 -0.4541 -1.3675
-4.5273 6.4735 -1.3675
-0.0299 -0.0536 7.4261
Pa I Cr
1 6 1
direct
0.5000 0.5000 0.5000
0.7387 0.7387 0.2586
0.9137 0.6214 0.7650
0.3786 0.0863 0.2350
0.0863 0.3786 0.2350
0.2613 0.2613 0.7414
0.6214 0.9137 0.7650
0.0000 0.0000 0.0000
```

Values from the calculation:
* crystal system: monoclinic
* symmetry: C2/m, No. 12
* VASP energy: -0.156 hartree per atom
* formation energy (no corrections): -689.1 meV per atom


Among the records above, which one has the lowest VASP energy? PaCrI6